1.
Compound: MgGa2Cu
Source: Alexandria via LeMat-Bulk
Functional: PBE
Structure: relaxed

It has space group R3m (No. 160, hexagonal axes), with a = 4.1946 Å, b = 4.1946 Å, c = 13.9027 Å, α = 90.00°, β = 90.00° and γ = 120.00°. The inequivalent atoms are Mg at (0.0000, 0.0000, 0.0000), Ga at (0.0000, 0.0000, 0.2157), Ga at (0.0000, 0.0000, 0.4362) and Cu at (0.0000, 0.0000, 0.8072).

For the formation energy, the calculation gives -0.1177 eV per atom. Its density of states at the Fermi level is 3.02 states/eV/cell.

---

2.
Compound: Th8CoP3Se4
Source: Alexandria via LeMat-Bulk
Functional: PBE
Structure: relaxed

It has space group R-3m (No. 166, hexagonal axes), with a = 8.3022 Å, b = 8.3022 Å, c = 20.7125 Å, α = 90.00°, β = 90.00° and γ = 120.00°. The inequivalent atoms are Th at (0.0000, 0.0000, 0.2434), Th at (0.0095, 0.5048, 0.2417), Co at (0.0000, 0.0000, 0.5000), P at (0.0000, 0.5000, 0.5000), Se at (0.0000, 0.0000, 0.0000) and Se at (0.0000, 0.5000, 0.0000).

Its density of states at the Fermi level is 38.78 states/eV/cell. As for the energy relative to the elements, uncorrected: -22.85 eV/f.u.

---

3.
Compound: YHo2Tc
Source: Alexandria via LeMat-Bulk
Functional: PBE
Structure: relaxed

It has space group Pnma (No. 62), with a = 7.486 Å, b = 9.097 Å, c = 6.215 Å, α = 90.00°, β = 90.00° and γ = 90.00°. The inequivalent atoms are Y at (0.041, 0.250, 0.126), Ho at (0.176, 0.063, 0.654) and Tc at (0.115, 0.750, 0.450).

For the formation energy, the calculation gives -0.1104 eV per atom. Its density of states at the Fermi level is 13.38 states/eV/cell. For the relative energy among the computed polymorphs, the calculation gives 0.0 meV/atom.